Below is crystalline AgPt2Pb at its relaxed geometry, with properties calculated at the PBE-GGA level.

Unit cell a=9.934 b=9.934 c=9.934 alpha=17.30 beta=17.30 gamma=17.30
Atoms (fractional coordinates):
Pb  0.750  0.750  0.750
Ag  0.250  0.250  0.250
Pt  0.995  0.995  0.995
Pt  0.505  0.505  0.505

Crystal system: trigonal
Formation energy (eV/f.u.): 0.7
Space-group type: R-3m